[1]
Material: Ta3Be
Method: DFT, PBE
State: relaxed

Output
- theoretical density (Mg/m³) = 14.264
- space-group type = P4/mmm
- M_tot (μB per atom) = 0.00
- energy relative to the elements (eV/atom) = 0.0354
- energy (eV per atom) = -9.79

```
Ta3Be
1.0
3.287 0.000 0.000
0.000 3.287 0.000
0.000 0.000 5.948
Be Ta
1 3
direct
0.000 0.000 0.000
0.500 0.500 0.229
0.000 0.000 0.500
0.500 0.500 0.771
```


[2]
Material: Ta2Be
Method: DFT, PBE
State: relaxed

Output
- theoretical density (Mg/m³) = 12.818
- space-group type = P-3m1
- M_tot (μB per atom) = 0.00
- energy relative to the elements (eV/atom) = 0.3034
- energy (eV per atom) = -8.84

```
Ta2Be
1.0
4.568 0.000 0.000
-2.284 3.956 0.000
0.000 0.000 2.659
Be Ta
1 2
direct
0.000 0.000 0.000
0.667 0.333 0.294
0.333 0.667 0.706
```


[3]
Material: Ta3Be
Method: DFT, PBE
State: relaxed

Output
- theoretical density (Mg/m³) = 13.939
- space-group type = Fm-3m
- M_tot (μB per atom) = 0.00
- energy relative to the elements (eV/atom) = 0.2176
- energy (eV per atom) = -9.60

```
Ta3Be
1.0
-3.749 2.080 -1.464
-4.076 -1.678 1.045
-2.667 2.192 2.934
Be Ta
1 3
direct
0.000 0.000 0.000
0.250 0.250 0.250
0.500 0.500 0.500
0.750 0.750 0.750
```


[4]
Material: Ta3Be
Method: DFT, PBE
State: relaxed

Output
- theoretical density (Mg/m³) = 13.792
- space-group type = R-3m
- M_tot (μB per atom) = 0.00
- energy relative to the elements (eV/atom) = 0.2887
- energy (eV per atom) = -9.53

```
Ta3Be
1.0
8.729 -0.033 -0.019
8.226 2.919 -0.019
8.226 1.400 2.561
Be Ta
1 3
direct
0.000 0.000 0.000
0.739 0.739 0.739
0.500 0.500 0.500
0.261 0.261 0.261
```


[5]
Material: TaBe
Method: DFT, PBE
State: relaxed

Output
- theoretical density (Mg/m³) = 11.683
- space-group type = P4/nmm
- M_tot (μB per atom) = 0.00
- energy relative to the elements (eV/atom) = 0.0304
- energy (eV per atom) = -7.76

```
TaBe
1.0
2.740 0.000 0.000
0.000 2.740 0.000
0.000 0.000 7.192
Be Ta
2 2
direct
0.250 0.250 0.074
0.750 0.750 0.926
0.250 0.250 0.673
0.750 0.750 0.327
```


[6]
Material: TaBe
Method: DFT, PBE
State: relaxed

Output
- theoretical density (Mg/m³) = 11.389
- space-group type = P2_13
- M_tot (μB per atom) = 0.00
- energy relative to the elements (eV/atom) = 0.2162
- energy (eV per atom) = -7.57

```
TaBe
1.0
-0.980 4.694 0.266
-4.593 -1.014 0.971
1.005 -0.056 4.696
Ta Be
4 4
direct
0.416 0.916 0.584
0.084 0.084 0.084
0.584 0.416 0.916
0.916 0.584 0.416
0.089 0.589 0.911
0.411 0.411 0.411
0.911 0.089 0.589
0.589 0.911 0.089
```